Record 1
Material: LaCeMgZn
Method: DFT, PBE-GGA
State: optimized geometry

Calculated values
ΔH_f (0 K): -0.081 eV/atom

```
LaCeMgZn
1.0
7.584 0.000 0.000
0.000 7.584 0.000
0.000 0.000 7.584
La Ce Mg Zn
4 4 4 4
direct
0.000 0.000 0.000
0.000 0.500 0.500
0.500 0.000 0.500
0.500 0.500 0.000
0.000 0.000 0.500
0.000 0.500 0.000
0.500 0.000 0.000
0.500 0.500 0.500
0.250 0.250 0.250
0.250 0.750 0.750
0.750 0.250 0.750
0.750 0.750 0.250
0.250 0.250 0.750
0.250 0.750 0.250
0.750 0.250 0.250
0.750 0.750 0.750
```

=====

Record 2
Material: LaNiC3
Method: DFT, PBE-GGA
State: optimized geometry

Calculated values
Offset from the most stable computed form: 0 meV/atom
ΔH_f (0 K): 1.315 eV/atom

```
LaNiC3
1.0
3.935 0.000 0.000
0.000 3.935 0.000
0.000 0.000 3.935
La Ni C
1 1 3
direct
0.000 0.000 0.000
0.500 0.500 0.500
0.000 0.500 0.500
0.500 0.000 0.500
0.500 0.500 0.000
```

=====

Record 3
Material: TaTi6H8
Method: DFT, PBE-GGA
State: optimized geometry

Calculated values
Total DFT energy (no corrections): -6.01 eV/atom

```
TaTi6H8
1.0
3.980 2.298 2.447
-3.980 2.298 2.447
0.000 -4.595 2.447
Ta Ti H
1 6 8
direct
0.000 0.000 0.000
0.145 0.292 0.587
0.292 0.587 0.145
0.413 0.855 0.708
0.587 0.145 0.292
0.708 0.413 0.855
0.855 0.708 0.413
0.095 0.640 0.793
0.207 0.905 0.360
0.264 0.264 0.264
0.360 0.207 0.905
0.640 0.793 0.095
0.736 0.736 0.736
0.793 0.095 0.640
0.905 0.360 0.207
```

=====

Taking the records one at a time from the top gives N(E_F) values of 34.328 6.681 11.837 states/eV per cell.